Record 1
An optimized crystal structure of Hf2Nb13, computed with PBE.

```
data_Hf2Nb13
_cell_length_a 7.4022
_cell_length_b 7.4022
_cell_length_c 21.4161
_cell_angle_alpha 90.00
_cell_angle_beta 90.00
_cell_angle_gamma 120.00
_space_group_name_H-M_alt 'R -3 m'
_space_group_IT_number 166
_space_group_name_Hall '-R 3 2"'
loop_
_atom_site_label
_atom_site_type_symbol
_atom_site_fract_x
_atom_site_fract_y
_atom_site_fract_z
Hf1 Hf 0.0000 0.0000 0.1335
Nb1 Nb 0.0000 0.0000 0.0000
Nb2 Nb 0.0683 0.5342 0.2865
Nb3 Nb 0.0833 0.5416 0.4174
```

Properties
Its formation energy is 18.2 kcal/mol of atoms. Its crystal system is trigonal. The value obtained for the volume is 22.58 A^3/atom. For the density of states at the Fermi level, the calculation gives 1.2915 states/eV per atom. The uncorrected energy is -9.266 eV per atom. As for the total magnetization: 0.000 μB/atom.


Record 2
An optimized crystal structure of TbDyTmTl, computed with PBE.

```
data_TbDyTmTl
_cell_length_a 7.7084
_cell_length_b 7.7084
_cell_length_c 7.7084
_cell_angle_alpha 90.00
_cell_angle_beta 90.00
_cell_angle_gamma 90.00
_space_group_name_H-M_alt 'F -4 3 m'
_space_group_IT_number 216
_space_group_name_Hall 'F -4 2 3'
loop_
_atom_site_label
_atom_site_type_symbol
_atom_site_fract_x
_atom_site_fract_y
_atom_site_fract_z
Tb1 Tb 0.0000 0.0000 0.0000
Dy1 Dy 0.0000 0.0000 0.5000
Tm1 Tm 0.2500 0.2500 0.2500
Tl1 Tl 0.2500 0.2500 0.7500
```

Properties
Its formation energy is -0.9 kcal/mol of atoms. Its crystal system is cubic. The value obtained for the volume is 28.63 A^3/atom. For the density of states at the Fermi level, the calculation gives 1.4308 states/eV per atom. The uncorrected energy is -4.055 eV per atom. As for the total magnetization: 0.328 μB/atom. The calculation puts the energy above the lowest structure with this stoichiometry at 3.17 kcal/mol of atoms.


Record 3
An optimized crystal structure of Tl2GaB, computed with PBE.

```
data_Tl2GaB
_cell_length_a 6.4525
_cell_length_b 6.4525
_cell_length_c 10.0217
_cell_angle_alpha 90.00
_cell_angle_beta 90.00
_cell_angle_gamma 90.00
_space_group_name_H-M_alt 'I -4 2 d'
_space_group_IT_number 122
_space_group_name_Hall 'I -4 2bw'
loop_
_atom_site_label
_atom_site_type_symbol
_atom_site_fract_x
_atom_site_fract_y
_atom_site_fract_z
Tl1 Tl 0.1611 0.2500 0.1250
Ga1 Ga 0.0000 0.0000 0.5000
B1 B 0.0000 0.0000 0.0000
```

Properties
Its formation energy is 18.9 kcal/mol of atoms. Its crystal system is tetragonal. The value obtained for the volume is 26.08 A^3/atom. For the density of states at the Fermi level, the calculation gives 0.2840 states/eV per atom. The uncorrected energy is -2.791 eV per atom. As for the total magnetization: 0.000 μB/atom. The calculation puts the energy above the lowest structure with this stoichiometry at 0.00 kcal/mol of atoms.


Q: The lowest volume belongs to which entry?
A: Hf2Nb13


Q: Which value of uncorrected energy does entry 1 give?
A: -9.266 eV per atom